[1]
A plane-wave DFT calculation with PBE was carried out for NaTl3F6 after structural relaxation.

Cell lengths 8.9589, 8.9589, 8.9589 Å; angles 90.00, 90.00, 90.00 degrees
Last column: nearest neighbours and their distance in Å.
Space group Fm-3m (No. 225)
Symmetry-distinct sites (fractional):
1 Na 0.0000 0.0000 0.0000 [4 per cell]  6 F 2.28
2 Tl 0.0000 0.0000 0.5000 [4 per cell]  6 F 2.19
3 Tl 0.2500 0.2500 0.2500 [8 per cell]  12 F 3.17
4 F 0.0000 0.0000 0.2550 [24 per cell]  1 Tl 2.19, 1 Na 2.28

Total energy   -160.36 eV for the cell shown
Magnetization   0.00 Bohr magnetons per cell
E_form (uncorrected)   -20.44 eV per formula unit

[2]
A plane-wave DFT calculation with PBE was carried out for CaLa2FePb after structural relaxation.

Cell lengths 5.1130, 5.1130, 5.5562 Å; angles 90.00, 90.00, 90.00 degrees
Last column: nearest neighbours and their distance in Å.
Space group P4/mmm (No. 123)
Symmetry-distinct sites (fractional):
1 Ca 0.0000 0.0000 0.0000 [1 per cell]  2 Fe 2.78
2 La 0.0000 0.5000 0.5000 [2 per cell]  2 Fe 2.56
3 Fe 0.0000 0.0000 0.5000 [1 per cell]  4 La 2.56, 2 Ca 2.78
4 Pb 0.5000 0.5000 0.0000 [1 per cell]  4 Ca 3.62, 8 La 3.78

Total energy   -24.89 eV for the cell shown
Magnetization   0.00 Bohr magnetons per cell
Formation energy from the elements   -0.173 eV per atom